YGa2Fe | PBE-GGA | relaxed

Unit cell a=9.150 b=9.150 c=4.027 alpha=90.00 beta=90.00 gamma=154.04
Atoms (fractional coordinates):
Y 0.143 0.857 0.000
Y 0.857 0.143 0.000
Ga 0.000 0.000 0.500
Ga 0.291 0.709 0.500
Ga 0.500 0.500 0.000
Ga 0.709 0.291 0.500
Fe 0.426 0.574 0.500
Fe 0.574 0.426 0.500

Calculated values
The value obtained for the total magnetic moment is 1.47 μB/f.u. The calculated density comes out at 6.4 g cm⁻³. The space-group type is Cmmm (65). As for the total DFT energy (no corrections): -5.63 eV per atom.

Re2SnOs | PBE-GGA | relaxed

Unit cell a=4.490 b=4.490 c=4.490 alpha=60.00 beta=60.00 gamma=60.00
Atoms (fractional coordinates):
Re 0.000 0.000 0.000
Re 0.250 0.250 0.250
Sn 0.500 0.500 0.500
Os 0.750 0.750 0.750

Calculated values
The value obtained for the total magnetic moment is 0.36 μB/f.u. The calculated density comes out at 17.7 g cm⁻³. The space-group type is F-43m (216). As for the total DFT energy (no corrections): -9.42 eV per atom.

BaLa2Te5Pt | PBE-GGA | relaxed

Unit cell a=8.742 b=8.742 c=7.949 alpha=90.00 beta=90.00 gamma=90.00
Atoms (fractional coordinates):
Ba 0.000 0.000 0.000
Ba 0.500 0.500 0.000
La 0.157 0.343 0.500
La 0.343 0.843 0.500
La 0.657 0.157 0.500
La 0.843 0.657 0.500
Te 0.000 0.000 0.500
Te 0.146 0.646 0.237
Te 0.146 0.646 0.763
Te 0.354 0.146 0.237
Te 0.354 0.146 0.763
Te 0.500 0.500 0.500
Te 0.646 0.854 0.237
Te 0.646 0.854 0.763
Te 0.854 0.354 0.237
Te 0.854 0.354 0.763
Pt 0.000 0.500 0.000
Pt 0.500 0.000 0.000

Calculated values
The value obtained for the total magnetic moment is 0.00 μB/f.u. The calculated density comes out at 6.8 g cm⁻³. The space-group type is P4/mbm (127). As for the total DFT energy (no corrections): -5.01 eV per atom.